(1)
Entry from the Alexandria database: a geometry-optimized Mg3NpCl2O6 structure (PBE-GGA).

Cell: 6.415 6.415 5.171 Å, 96.22 96.22 57.62°
Fractional coordinates of all 12 atoms:
1 Mg 0.000 0.000 0.000
2 Mg 0.000 0.500 0.500
3 Mg 0.500 0.000 0.500
4 Np 0.500 0.500 0.500
5 Cl 0.195 0.195 0.830
6 Cl 0.805 0.805 0.170
7 O 0.191 0.684 0.712
8 O 0.316 0.809 0.288
9 O 0.329 0.329 0.338
10 O 0.671 0.671 0.662
11 O 0.684 0.191 0.712
12 O 0.809 0.316 0.288

Calculated values
The space-group type is C2/m.

***

(2)
Entry from the Alexandria database: a geometry-optimized RbMg2NpCl8 structure (PBE-GGA).

Cell: 6.537 6.720 9.210 Å, 76.57 77.95 76.88°
Fractional coordinates of all 12 atoms:
1 Rb 0.000 0.000 0.000
2 Mg 0.461 0.453 0.208
3 Mg 0.539 0.547 0.792
4 Np 0.000 0.000 0.500
5 Cl 0.184 0.718 0.731
6 Cl 0.237 0.771 0.289
7 Cl 0.294 0.246 0.444
8 Cl 0.370 0.308 0.020
9 Cl 0.630 0.692 0.980
10 Cl 0.706 0.754 0.556
11 Cl 0.763 0.229 0.711
12 Cl 0.816 0.282 0.269

Calculated values
The space-group type is P-1.

***

no.,E_form (uncorrected) (eV per atom),uncorrected energy (eV per atom)
1,-2.127,-6.391
2,-1.779,-4.435